A plane-wave DFT calculation with PBE-GGA was carried out for La2Ni after structural relaxation.

Output
Formation energy in eV per atom: -0.148

Lattice parameters (Å, degrees): 13.827 13.827 13.827 90.00 90.00 90.00
Space group Fd-3m (No. 227, origin choice 2)
Inequivalent atoms, fractional coordinates:
La (0.000, 0.000, 0.000) [16 per cell]
La (0.065, 0.375, 0.875) [48 per cell]
Ni (0.019, 0.019, 0.231) [32 per cell]

A plane-wave DFT calculation with PBE-GGA was carried out for Al2ZnCr after structural relaxation.

Output
Formation energy in eV per atom: 0.040

Lattice parameters (Å, degrees): 3.298 3.298 5.394 90.00 90.00 90.00
Space group P4mm (No. 99)
Inequivalent atoms, fractional coordinates:
Al (0.000, 0.000, 0.000) [1 per cell]
Al (0.500, 0.500, 0.277) [1 per cell]
Zn (0.500, 0.500, 0.757) [1 per cell]
Cr (0.000, 0.000, 0.500) [1 per cell]

A plane-wave DFT calculation with PBE-GGA was carried out for Na2Ga3Pd after structural relaxation.

Output
Formation energy in eV per atom: -0.273

Lattice parameters (Å, degrees): 9.327 5.420 5.449 90.00 123.95 90.00
Space group C2/m (No. 12)
Inequivalent atoms, fractional coordinates:
Na (0.127, 0.000, 0.374) [4 per cell]
Ga (0.000, 0.500, 0.500) [2 per cell]
Ga (0.250, 0.250, 0.000) [4 per cell]
Pd (0.000, 0.500, 0.000) [2 per cell]

A plane-wave DFT calculation with PBE-GGA was carried out for MgIn3Hg4Pb2 after structural relaxation.

Output
Formation energy in eV per atom: 0.052

Lattice parameters (Å, degrees): 4.562 4.562 13.190 90.00 90.00 90.00
Space group P-4m2 (No. 115)
Inequivalent atoms, fractional coordinates:
Mg (0.000, 0.000, 0.000) [1 per cell]
In (0.000, 0.500, 0.353) [2 per cell]
In (0.500, 0.500, 0.000) [1 per cell]
Hg (0.000, 0.000, 0.500) [1 per cell]
Hg (0.000, 0.500, 0.138) [2 per cell]
Hg (0.500, 0.500, 0.500) [1 per cell]
Pb (0.000, 0.500, 0.772) [2 per cell]

| no. | E_tot (eV/f.u.) | calculated density (g/cm3) |
| --- | --- | --- |
| 1 | -16.1 | 6.76 |
| 2 | -18.2 | 4.85 |
| 3 | -18.5 | 5.26 |
| 4 | -17.9 | 9.59 |